# CeDyHo2S6, relaxed, DFT PBE-GGA
# Energy, Ry per atom: -0.4754
# N(E_F), states/eV/atom: 0.486
# Calculated volume, Å³/atom: 26.0
data_CeDyHo2S6
_cell_length_a 6.9732
_cell_length_b 6.9732
_cell_length_c 18.5324
_cell_angle_alpha 90.00
_cell_angle_beta 90.00
_cell_angle_gamma 120.00
_space_group_name_H-M_alt 'R 3'
_space_group_IT_number 146
_space_group_name_Hall 'R 3'
loop_
_atom_site_label
_atom_site_type_symbol
_atom_site_fract_x
_atom_site_fract_y
_atom_site_fract_z
_atom_site_occupancy
Ce1 Ce 0.0000 0.0000 0.0000 1
Dy1 Dy 0.0000 0.0000 0.5050 1
Ho1 Ho 0.0000 0.0000 0.2039 1
Ho2 Ho 0.0000 0.0000 0.7071 1
S1 S 0.0324 0.3607 0.7740 1
S2 S 0.0506 0.6885 0.2734 1